Li8Dy4O11 | PBE | relaxed

abc: 5.1309 5.5883 9.6002
angles: 84.18 78.35 78.61
Element x y z (fractional)
Li (0.0000, 0.0000, 0.0000)
Li (0.0102, 0.7838, 0.5233)
Li (0.3385, 0.5669, 0.7344)
Li (0.3818, 0.3333, 0.0347)
Li (0.5209, 0.0417, 0.5565)
Li (0.5849, 0.5971, 0.4746)
Li (0.7329, 0.0489, 0.2464)
Li (0.8647, 0.5313, 0.1450)
Dy (0.1629, 0.2937, 0.3657)
Dy (0.3200, 0.7903, 0.2038)
Dy (0.5903, 0.8736, 0.8596)
Dy (0.9112, 0.3049, 0.7032)
O (0.0736, 0.9207, 0.7968)
O (0.0814, 0.1703, 0.1553)
O (0.2574, 0.4326, 0.5610)
O (0.2609, 0.6919, 0.9901)
O (0.4098, 0.9252, 0.3967)
O (0.5020, 0.2587, 0.8338)
O (0.5227, 0.3999, 0.2142)
O (0.6800, 0.6821, 0.6597)
O (0.6897, 0.8744, 0.0726)
O (0.8478, 0.1520, 0.5252)
O (0.9368, 0.6670, 0.3272)

Its calculated volume is 263.7 Å³ per cell. As for the electronic total energy: -6.17 eV/atom. Its energy above the most stable polymorph in this dataset is 38 meV/atom. As for the total magnetization: 0.001 μB per atom.